# Li4Mn3V3W2O16

A relaxed Li4Mn3V3W2O16 crystal (GGA+U, the Alexandria database).

Values from the calculation:
total DFT energy (no corrections)	-7.2151	eV per atom
size of the total moment	20.0	μB/cell
space group	No. 8

Cell lengths 6.096, 6.096, 9.836 Å; angles 91.04, 91.04, 60.15 degrees
Sites, in units of the cell vectors:
Li 0.000 0.000 0.000
Li 0.004 0.004 0.501
Li 0.321 0.321 0.918
Li 0.654 0.654 0.423
Mn 0.163 0.655 0.221
Mn 0.655 0.163 0.221
Mn 0.825 0.825 0.722
V 0.168 0.168 0.238
V 0.338 0.830 0.731
V 0.830 0.338 0.731
W 0.332 0.332 0.503
W 0.659 0.659 0.001
O 0.001 0.001 0.813
O 0.008 0.008 0.311
O 0.034 0.455 0.368
O 0.175 0.175 0.609
O 0.175 0.651 0.598
O 0.303 0.303 0.123
O 0.348 0.824 0.103
O 0.455 0.034 0.368
O 0.467 0.467 0.370
O 0.504 0.948 0.866
O 0.514 0.514 0.865
O 0.648 0.648 0.623
O 0.651 0.175 0.598
O 0.822 0.822 0.090
O 0.824 0.348 0.103
O 0.948 0.504 0.866